[1]
A relaxed structure of NiHg2Br. Source: Alexandria via LeMat-Bulk, functional GGA-PBE.

Formation energy (no corrections), eV per atom: 0.143
Spin magnetization, μB/f.u.: 0.0
Energy above the most stable polymorph in this dataset, meV/atom: 96

abc: 3.7232 3.7232 22.8999
angles: 90.00 90.00 120.00
Space group R-3m (No. 166, hexagonal axes)
Symmetry-distinct sites (fractional):
Ni 0.0000 0.0000 0.0000 (multiplicity 3)
Hg 0.0000 0.0000 0.2643 (multiplicity 6)
Br 0.0000 0.0000 0.5000 (multiplicity 3)

[2]
A relaxed structure of TaCo5. Source: Alexandria via LeMat-Bulk, functional GGA-PBE.

Energy relative to the elements, meV/atom: -76
Spin magnetization, μB/f.u.: 5.8

abc: 6.6002 6.6002 6.6002
angles: 90.00 90.00 90.00
Space group F-43m (No. 216)
Symmetry-distinct sites (fractional):
Ta 0.0000 0.0000 0.0000 (multiplicity 4)
Co 0.1242 0.1242 0.3758 (multiplicity 16)
Co 0.2500 0.2500 0.7500 (multiplicity 4)

[3]
A relaxed structure of Co3Tc5. Source: Alexandria via LeMat-Bulk, functional GGA-PBE.

Energy relative to the elements, meV/atom: 61
Spin magnetization, μB/f.u.: 0.6
Energy above the most stable polymorph in this dataset, meV/atom: 1

abc: 9.4338 9.4338 4.6947
angles: 90.00 90.00 90.00
Space group I4/mcm (No. 140)
Symmetry-distinct sites (fractional):
Co 0.0000 0.0000 0.2500 (multiplicity 4)
Co 0.1670 0.3330 0.0000 (multiplicity 8)
Tc 0.0000 0.5000 0.2500 (multiplicity 4)
Tc 0.0763 0.2223 0.5000 (multiplicity 16)

[4]
A relaxed structure of PrDy2Mg. Source: Alexandria via LeMat-Bulk, functional GGA-PBE.

Energy relative to the elements, meV/atom: 51
Spin magnetization, μB/f.u.: 0.0
Energy above the most stable polymorph in this dataset, meV/atom: 82

abc: 6.1638 3.5491 11.5569
angles: 90.00 100.28 90.00
Space group Cm (No. 8)
Symmetry-distinct sites (fractional):
Pr 0.0000 0.0000 0.0000 (multiplicity 2)
Dy 0.0796 0.5000 0.7391 (multiplicity 2)
Dy 0.4196 0.0000 0.2581 (multiplicity 2)
Mg 0.3324 0.5000 0.4991 (multiplicity 2)

[5]
A relaxed structure of Ag3Ge2S3. Source: Alexandria via LeMat-Bulk, functional GGA-PBE.

Formation energy (no corrections), eV per atom: 0.079
Spin magnetization, μB/f.u.: 0.0

abc: 3.6104 13.3382 13.0584
angles: 90.00 90.00 90.00
Space group Cmcm (No. 63)
Symmetry-distinct sites (fractional):
Ag 0.0000 0.0355 0.1108 (multiplicity 8)
Ag 0.0000 0.4029 0.2500 (multiplicity 4)
Ge 0.0000 0.2298 0.6232 (multiplicity 8)
S 0.0000 0.3630 0.0235 (multiplicity 8)
S 0.0000 0.4018 0.7500 (multiplicity 4)

[6]
A relaxed structure of Nd6Dy3Th2. Source: Alexandria via LeMat-Bulk, functional GGA-PBE.

Energy relative to the elements, meV/atom: 28
Spin magnetization, μB/f.u.: 0.0

abc: 3.6233 3.6233 97.6529
angles: 90.00 90.00 120.00
Space group R-3m (No. 166, hexagonal axes)
Symmetry-distinct sites (fractional):
Nd 0.0000 0.0000 0.0909 (multiplicity 6)
Nd 0.0000 0.0000 0.1832 (multiplicity 6)
Nd 0.0000 0.0000 0.3634 (multiplicity 6)
Dy 0.0000 0.0000 0.0000 (multiplicity 3)
Dy 0.0000 0.0000 0.2734 (multiplicity 6)
Th 0.0000 0.0000 0.4540 (multiplicity 6)

[7]
A relaxed structure of La2Pm2Ru. Source: Alexandria via LeMat-Bulk, functional GGA-PBE.

Energy relative to the elements, meV/atom: -134
Spin magnetization, μB/f.u.: 0.0
Energy above the most stable polymorph in this dataset, meV/atom: 0

abc: 7.5216 12.2564 7.6055
angles: 90.00 114.15 90.00
Space group C2/m (No. 12)
Symmetry-distinct sites (fractional):
La 0.2254 0.0000 0.4150 (multiplicity 4)
La 0.2455 0.5000 0.0855 (multiplicity 4)
Pm 0.0534 0.2736 0.7536 (multiplicity 8)
Ru 0.0000 0.1253 0.0000 (multiplicity 4)

[8]
A relaxed structure of TmGe2Se6. Source: Alexandria via LeMat-Bulk, functional GGA-PBE.

Formation energy (no corrections), eV per atom: -0.551
Spin magnetization, μB/f.u.: 0.0

abc: 12.4897 11.9369 6.6666
angles: 90.00 99.13 90.00
Space group C2/c (No. 15)
Symmetry-distinct sites (fractional):
Tm 0.0000 0.1100 0.2500 (multiplicity 4)
Ge 0.1930 0.4235 0.3113 (multiplicity 8)
Se 0.1122 0.0890 0.6547 (multiplicity 8)
Se 0.1276 0.4057 0.6331 (multiplicity 8)
Se 0.1293 0.2710 0.0958 (multiplicity 8)

[9]
A relaxed structure of EuTlSn4. Source: Alexandria via LeMat-Bulk, functional GGA-PBE.

Energy relative to the elements, meV/atom: -240
Spin magnetization, μB/f.u.: 6.9

abc: 8.8945 8.8945 8.8945
angles: 90.00 90.00 90.00
Space group F-43m (No. 216)
Symmetry-distinct sites (fractional):
Eu 0.0000 0.0000 0.0000 (multiplicity 4)
Tl 0.2500 0.2500 0.2500 (multiplicity 4)
Sn 0.1250 0.1250 0.6250 (multiplicity 16)

[10]
A relaxed structure of Ce2PuNpN4. Source: Alexandria via LeMat-Bulk, functional GGA-PBE.

Formation energy (no corrections), eV per atom: -1.318
Spin magnetization, μB/f.u.: 2.3

abc: 6.0747 3.5080 6.0914
angles: 90.00 109.62 90.00
Space group P2/m (No. 10)
Symmetry-distinct sites (fractional):
Ce 0.0000 0.0000 0.0000 (multiplicity 1)
Ce 0.0000 0.5000 0.5000 (multiplicity 1)
Pu 0.5000 0.0000 0.5000 (multiplicity 1)
Np 0.5000 0.5000 0.0000 (multiplicity 1)
N 0.2683 0.5000 0.2476 (multiplicity 2)
N 0.2693 0.0000 0.7650 (multiplicity 2)

[11]
A relaxed structure of Sm3YSc2. Source: Alexandria via LeMat-Bulk, functional GGA-PBE.

Energy relative to the elements, meV/atom: 277
Spin magnetization, μB/f.u.: 0.0
Energy above the most stable polymorph in this dataset, meV/atom: 118

abc: 14.4146 9.7680 5.5002
angles: 90.00 90.00 90.00
Space group Cmcm (No. 63)
Symmetry-distinct sites (fractional):
Sm 0.0000 0.0924 0.2500 (multiplicity 4)
Sm 0.2431 0.1329 0.2500 (multiplicity 8)
Y 0.0000 0.2764 0.7500 (multiplicity 4)
Sc 0.1044 0.4071 0.2500 (multiplicity 8)

[12]
A relaxed structure of Cd2CSeBr. Source: Alexandria via LeMat-Bulk, functional GGA-PBE.

Formation energy (no corrections), eV per atom: 1.392
Spin magnetization, μB/f.u.: 0.0

abc: 5.6262 5.6262 3.8826
angles: 90.00 90.00 90.00
Space group P4/mmm (No. 123)
Symmetry-distinct sites (fractional):
Cd 0.0000 0.5000 0.0000 (multiplicity 2)
C 0.0000 0.0000 0.5000 (multiplicity 1)
Se 0.5000 0.5000 0.5000 (multiplicity 1)
Br 0.0000 0.0000 0.0000 (multiplicity 1)

[13]
A relaxed structure of Pr6Sm2Ho3. Source: Alexandria via LeMat-Bulk, functional GGA-PBE.

Energy relative to the elements, meV/atom: 16
Spin magnetization, μB/f.u.: 0.0
Energy above the most stable polymorph in this dataset, meV/atom: 0

abc: 6.3163 8.1330 8.1705
angles: 107.40 97.30 104.92
Space group P-1 (No. 2)
Symmetry-distinct sites (fractional):
Pr 0.0471 0.1825 0.4090 (multiplicity 2)
Pr 0.1366 0.5461 0.2312 (multiplicity 2)
Pr 0.3201 0.2720 0.8650 (multiplicity 2)
Sm 0.2296 0.9108 0.0474 (multiplicity 2)
Ho 0.4099 0.6382 0.6812 (multiplicity 2)
Ho 0.5000 0.0000 0.5000 (multiplicity 1)

[14]
A relaxed structure of Tb8Pm6Sc. Source: Alexandria via LeMat-Bulk, functional GGA-PBE.

Energy relative to the elements, meV/atom: 114
Spin magnetization, μB/f.u.: 0.0

abc: 9.1009 9.1009 20.6951
angles: 90.00 90.00 120.00
Space group R-3 (No. 148, hexagonal axes)
Symmetry-distinct sites (fractional):
Tb 0.0000 0.0000 0.0773 (multiplicity 6)
Tb 0.0825 0.5258 0.3059 (multiplicity 18)
Pm 0.0618 0.8113 0.2089 (multiplicity 18)
Sc 0.0000 0.0000 0.5000 (multiplicity 3)

[15]
A relaxed structure of InPdRh. Source: Alexandria via LeMat-Bulk, functional GGA-PBE.

Energy relative to the elements, meV/atom: -163
Spin magnetization, μB/f.u.: 0.0
Energy above the most stable polymorph in this dataset, meV/atom: 87

abc: 4.4666 4.4666 2.9081
angles: 90.00 90.00 120.00
Space group P3m1 (No. 156)
Symmetry-distinct sites (fractional):
In 0.0000 0.0000 0.0000 (multiplicity 1)
Pd 0.3333 0.6667 0.7174 (multiplicity 1)
Rh 0.6667 0.3333 0.3095 (multiplicity 1)

[16]
A relaxed structure of LiZnCrRh. Source: Alexandria via LeMat-Bulk, functional GGA-PBE.

Energy relative to the elements, meV/atom: -42
Spin magnetization, μB/f.u.: 0.1

abc: 5.8992 5.8992 5.8992
angles: 90.00 90.00 90.00
Space group F-43m (No. 216)
Symmetry-distinct sites (fractional):
Li 0.0000 0.0000 0.0000 (multiplicity 4)
Zn 0.2500 0.2500 0.7500 (multiplicity 4)
Cr 0.2500 0.2500 0.2500 (multiplicity 4)
Rh 0.0000 0.0000 0.5000 (multiplicity 4)

[17]
A relaxed structure of NiSbRhAu. Source: Alexandria via LeMat-Bulk, functional GGA-PBE.

Formation energy (no corrections), eV per atom: -0.060
Spin magnetization, μB/f.u.: 0.0

abc: 6.3647 6.3647 6.3647
angles: 90.00 90.00 90.00
Space group F-43m (No. 216)
Symmetry-distinct sites (fractional):
Ni 0.0000 0.0000 0.0000 (multiplicity 4)
Sb 0.2500 0.2500 0.7500 (multiplicity 4)
Rh 0.0000 0.0000 0.5000 (multiplicity 4)
Au 0.2500 0.2500 0.2500 (multiplicity 4)

[18]
A relaxed structure of TmPuTh. Source: Alexandria via LeMat-Bulk, functional GGA-PBE.

Energy relative to the elements, meV/atom: 256
Spin magnetization, μB/f.u.: 5.8
Energy above the most stable polymorph in this dataset, meV/atom: 149

abc: 5.6329 5.6329 3.2478
angles: 90.00 90.00 120.00
Space group P3m1 (No. 156)
Symmetry-distinct sites (fractional):
Tm 0.0000 0.0000 0.0000 (multiplicity 1)
Pu 0.3333 0.6667 0.5013 (multiplicity 1)
Th 0.6667 0.3333 0.0022 (multiplicity 1)

[19]
A relaxed structure of NaPrCd2Hg4. Source: Alexandria via LeMat-Bulk, functional GGA-PBE.

Energy relative to the elements, meV/atom: -272
Spin magnetization, μB/f.u.: 0.0

abc: 5.0775 5.0775 26.3137
angles: 90.00 90.00 120.00
Space group R-3m (No. 166, hexagonal axes)
Symmetry-distinct sites (fractional):
Na 0.0000 0.0000 0.0000 (multiplicity 3)
Pr 0.0000 0.0000 0.5000 (multiplicity 3)
Cd 0.0000 0.0000 0.2529 (multiplicity 6)
Hg 0.0000 0.0000 0.1188 (multiplicity 6)
Hg 0.0000 0.0000 0.3728 (multiplicity 6)

[20]
A relaxed structure of BPIrRhAu. Source: Alexandria via LeMat-Bulk, functional GGA-PBE.

Energy relative to the elements, meV/atom: -203
Spin magnetization, μB/f.u.: 0.0
Energy above the most stable polymorph in this dataset, meV/atom: 8

abc: 4.1176 3.5447 6.4906
angles: 90.00 108.01 90.00
Space group Pm (No. 6)
Symmetry-distinct sites (fractional):
B 0.0000 0.0000 0.0000 (multiplicity 1)
P 0.3199 0.5000 0.6316 (multiplicity 1)
Ir 0.9098 0.5000 0.8160 (multiplicity 1)
Rh 0.4349 0.0000 0.8671 (multiplicity 1)
Au 0.1305 0.5000 0.2540 (multiplicity 1)

[21]
A relaxed structure of BaSc2As. Source: Alexandria via LeMat-Bulk, functional GGA-PBE.

Energy relative to the elements, meV/atom: -335
Spin magnetization, μB/f.u.: 0.0

abc: 6.2460 3.7169 6.3090
angles: 90.00 118.08 90.00
Space group P2/m (No. 10)
Symmetry-distinct sites (fractional):
Ba 0.0000 0.0000 0.0000 (multiplicity 1)
Sc 0.3277 0.5000 0.6743 (multiplicity 2)
As 0.5000 0.0000 0.5000 (multiplicity 1)